First-principles (PBE-GGA) data for Li2Pr2PaN4 after structural relaxation, as listed in Alexandria.

The structure belongs to space group C2/m (No. 12); the cell edges are 12.5364, 3.4683 and 6.0433 Å and the angles 90.00°, 108.71° and 90.00°. Symmetry generates all atoms from Li at (0.1870, 0.0000, 0.0044), Pr at (0.1409, 0.5000, 0.5693), Pa at (0.0000, 0.5000, 0.0000), N at (0.0305, 0.0000, 0.7716) and N at (0.2017, 0.5000, 0.2084).

The formation energy without anion corrections comes out at -1.009 eV/atom. As for the uncorrected energy: -7.252 eV/atom.